1.
VHIrRu2: relaxed, PBE-GGA.

Values from the calculation:
Polymorph energy (0 for the lowest one) ... 0 meV per atom
Total magnetization ... 0.00 μB per cell
Raw total energy ... -8.18 eV/atom

The structure in extended XYZ format:
```
5
Lattice="3.8458 0.0000 0.0000 0.0000 3.8458 0.0000 0.0000 0.0000 3.8877" Properties=species:S:1:pos:R:3 pbc="T T T"
Ru 0.0000 1.9229 0.0000
Ru 1.9229 0.0000 0.0000
Ir 1.9229 1.9229 1.9438
H 0.0000 0.0000 0.0000
V 0.0000 0.0000 1.9438
```


2.
HIrRu2W: relaxed, PBE-GGA.

Values from the calculation:
Polymorph energy (0 for the lowest one) ... 0 meV per atom
Total magnetization ... 0.00 μB per cell
Raw total energy ... -8.84 eV/atom

The structure in extended XYZ format:
```
5
Lattice="-3.8417 0.5552 0.6185 -0.7757 -1.3444 -3.6111 -0.2957 -3.6171 1.4101" Properties=species:S:1:pos:R:3 pbc="T T T"
Ru -0.3878 -0.6722 -1.8056
Ru -1.9208 0.2776 0.3093
Ir -0.1479 -1.8085 0.7051
W -2.4566 -2.2031 -0.7912
H 0.0000 0.0000 0.0000
```


3.
HIrRuW2: relaxed, PBE-GGA.

Values from the calculation:
Polymorph energy (0 for the lowest one) ... 0 meV per atom
Total magnetization ... 0.00 μB per cell
Raw total energy ... -9.54 eV/atom

The structure in extended XYZ format:
```
5
Lattice="4.0030 0.0000 0.0000 0.0000 4.0030 0.0000 0.0000 0.0000 3.8904" Properties=species:S:1:pos:R:3 pbc="T T T"
Ru 0.0000 0.0000 1.9452
Ir 2.0015 2.0015 1.9452
W 0.0000 2.0015 0.0000
W 2.0015 0.0000 0.0000
H 0.0000 0.0000 0.0000
```